[1]
Density functional theory data (GGA+U) for crystalline AcCoSbO6 at its relaxed geometry.

abc: 5.1718 5.1602 5.4220
angles: 89.78 89.57 59.92
Site moments in Bohr magnetons follow the coordinates.
Sites, in units of the cell vectors:
Ac 0.9987 0.0026 0.0000  0.00
Co 0.3306 0.3388 0.5000  1.06
Sb 0.6665 0.6669 0.5000  0.00
O 0.0134 0.3721 0.2952  -0.02
O 0.3750 0.0145 0.7050  -0.02
O 0.6144 0.3722 0.7048  -0.02
O 0.0168 0.6092 0.7036  0.02
O 0.3740 0.6092 0.2964  0.02
O 0.6104 0.0145 0.2949  -0.02

## Properties
Space group: No. 5
Final energy (eV per atom): -6.63
Total moment (μB/cell): 1.04


[2]
Density functional theory data (GGA+U) for crystalline Ac2CoSbO6 at its relaxed geometry.

abc: 4.2399 5.8248 5.8248
angles: 90.00 90.00 90.00
Site moments in Bohr magnetons follow the coordinates.
Sites, in units of the cell vectors:
Ac 0.0805 0.5000 0.0000  -0.01
Ac 0.0805 0.0000 0.5000  -0.01
Co 0.6294 0.5000 0.5000  2.38
Sb 0.6307 0.0000 0.0000  -0.02
O 0.6835 0.2455 0.2455  0.00
O 0.6835 0.2455 0.7545  0.00
O 0.1472 0.5000 0.5000  0.08
O 0.1445 0.0000 0.0000  0.00
O 0.6835 0.7545 0.7545  0.00
O 0.6835 0.7545 0.2455  0.00

## Properties
Space group: No. 99
Final energy (eV per atom): -6.85
Total moment (μB/cell): 2.39


[3]
Density functional theory data (GGA+U) for crystalline AcCoSb2O8 at its relaxed geometry.

abc: 5.0373 5.0642 6.5359
angles: 90.00 90.00 84.23
Site moments in Bohr magnetons follow the coordinates.
Sites, in units of the cell vectors:
Ac 0.0000 0.0000 0.5000  0.01
Co 0.0000 0.0000 0.0000  2.98
Sb 0.5000 0.5000 0.7647  0.01
Sb 0.5000 0.5000 0.2353  0.01
O 0.1871 0.7695 0.2100  0.14
O 0.6694 0.6987 0.0000  0.10
O 0.8129 0.2304 0.2100  0.14
O 0.8129 0.2305 0.7900  0.14
O 0.3306 0.3013 0.0000  0.10
O 0.1871 0.7696 0.7900  0.14
O 0.6405 0.6858 0.5000  0.02
O 0.3595 0.3142 0.5000  0.02

## Properties
Space group: No. 10
Final energy (eV per atom): -6.34
Total moment (μB/cell): 3.95


[4]
Density functional theory data (GGA+U) for crystalline AcCo2SbO8 at its relaxed geometry.

abc: 6.0224 6.0224 6.0224
angles: 106.29 106.29 116.03
Site moments in Bohr magnetons follow the coordinates.
Sites, in units of the cell vectors:
Ac 0.2500 0.7500 0.5000  0.02
Co 0.7500 0.2500 0.5000  3.02
Co 0.5000 0.5000 0.0000  -0.84
Sb 0.0000 0.0000 0.0000  0.03
O 0.3776 0.0770 0.3006  0.35
O 0.2938 0.4511 0.1573  0.02
O 0.2938 0.1365 0.8427  0.02
O 0.7764 0.0770 0.6994  0.35
O 0.8635 0.7062 0.1573  0.02
O 0.9230 0.2236 0.3006  0.35
O 0.9230 0.6224 0.6994  0.35
O 0.5489 0.7062 0.8427  0.02

## Properties
Space group: No. 119
Final energy (eV per atom): -6.14
Total moment (μB/cell): 3.99


[5]
Density functional theory data (GGA+U) for crystalline Ac2ScCoO6 at its relaxed geometry.

abc: 5.6888 5.6337 7.9737
angles: 90.00 89.79 90.00
Site moments in Bohr magnetons follow the coordinates.
Sites, in units of the cell vectors:
Ac 0.0026 0.9987 0.2511  0.00
Ac 0.5026 0.5013 0.7511  0.00
Ac 0.9974 0.0013 0.7489  0.00
Ac 0.4974 0.4987 0.2489  0.00
Sc 0.5000 0.0000 0.5000  0.00
Sc 0.0000 0.5000 0.0000  0.00
Co 0.5000 0.0000 0.0000  0.05
Co 0.0000 0.5000 0.5000  0.05
O 0.2610 0.7558 0.0270  0.00
O 0.7610 0.7442 0.5270  0.00
O 0.7390 0.2442 0.9730  0.00
O 0.2390 0.2558 0.4730  0.00
O 0.2427 0.7404 0.4730  0.00
O 0.7427 0.7596 0.9730  0.00
O 0.7573 0.2596 0.5270  0.00
O 0.2573 0.2404 0.0270  0.00
O 0.9490 0.5005 0.2587  0.00
O 0.4490 0.9995 0.7587  0.00
O 0.0510 0.4995 0.7413  0.00
O 0.5510 0.0005 0.2413  0.00

## Properties
Space group: No. 14
Final energy (eV per atom): -7.79
Total moment (μB/cell): 0.15


[6]
Density functional theory data (GGA+U) for crystalline AcCoSeO6 at its relaxed geometry.

abc: 5.3997 4.9901 4.9901
angles: 120.00 90.00 90.00
Sites, in units of the cell vectors:
Ac 0.0000 0.3333 0.6667
Co 0.5000 0.6667 0.3333
Se 0.5000 0.0000 0.0000
O 0.6944 0.7202 0.6793
O 0.6944 0.3207 0.0409
O 0.6944 0.9591 0.2798
O 0.3056 0.3207 0.2798
O 0.3056 0.7202 0.0409
O 0.3056 0.9591 0.6793

## Properties
Space group: No. 149
Final energy (eV per atom): -6.31
Total moment (μB/cell): 0.00


[7]
Density functional theory data (GGA+U) for crystalline AcSmCoO4 at its relaxed geometry.

abc: 3.8107 3.8107 7.0585
angles: 105.66 105.66 90.00
Site moments in Bohr magnetons follow the coordinates.
Sites, in units of the cell vectors:
Ac 0.6415 0.6415 0.2831  0.01
Sm 0.3675 0.3675 0.7351  0.00
Co 0.9936 0.9936 0.9871  0.99
O 0.9920 0.4920 0.9839  -0.03
O 0.4920 0.9920 0.9839  -0.03
O 0.8257 0.8257 0.6515  0.05
O 0.1877 0.1877 0.3753  0.03

## Properties
Space group: No. 107
Final energy (eV per atom): -7.40
Total moment (μB/cell): 1.03


[8]
Density functional theory data (GGA+U) for crystalline Ac2CoSnO6 at its relaxed geometry.

abc: 5.8606 5.7724 5.8477
angles: 119.57 120.44 90.00
Site moments in Bohr magnetons follow the coordinates.
Sites, in units of the cell vectors:
Ac 0.2404 0.2518 0.5036  0.00
Ac 0.7596 0.7482 0.4964  0.00
Co 0.5000 0.0000 0.0000  2.69
Sn 0.0000 0.5000 0.0000  0.04
O 0.3322 0.7456 0.4912  0.04
O 0.1978 0.2007 0.9008  0.03
O 0.8022 0.3000 0.0992  0.03
O 0.1978 0.7000 0.9008  0.03
O 0.8022 0.7993 0.0992  0.03
O 0.6678 0.2544 0.5088  0.04

## Properties
Space group: No. 12
Final energy (eV per atom): -7.14
Total moment (μB/cell): 2.97


[9]
Density functional theory data (GGA+U) for crystalline SrAcCoO4 at its relaxed geometry.

abc: 5.9292 5.8504 7.0729
angles: 90.00 107.86 90.00
Site moments in Bohr magnetons follow the coordinates.
Sites, in units of the cell vectors:
Sr 0.7333 0.7500 0.9370  0.01
Sr 0.2667 0.2500 0.0630  0.01
Ac 0.7995 0.7500 0.4571  0.01
Ac 0.2005 0.2500 0.5429  0.01
Co 0.2621 0.7500 0.3026  2.89
Co 0.7379 0.2500 0.6974  2.89
O 0.9718 0.4869 0.7433  0.17
O 0.0282 0.9869 0.2567  0.17
O 0.0282 0.5131 0.2567  0.17
O 0.9718 0.0131 0.7433  0.17
O 0.4492 0.7500 0.1418  0.25
O 0.5508 0.2500 0.8582  0.25
O 0.4210 0.7500 0.5698  0.27
O 0.5790 0.2500 0.4302  0.27

## Properties
Space group: No. 11
Final energy (eV per atom): -6.65
Total moment (μB/cell): 8.05


[10]
Density functional theory data (GGA+U) for crystalline SrAc4Co3O12 at its relaxed geometry.

abc: 7.0120 7.0120 7.0120
angles: 109.47 109.47 109.47
Site moments in Bohr magnetons follow the coordinates.
Sites, in units of the cell vectors:
Sr 0.0000 0.0000 0.0000  -0.02
Ac 0.5000 0.5000 0.5000  0.01
Ac 0.0000 0.0000 0.5000  0.01
Ac 0.5000 0.0000 0.0000  0.01
Ac 0.0000 0.5000 0.0000  0.01
Co 0.5000 0.0000 0.5000  1.88
Co 0.5000 0.5000 0.0000  1.88
Co 0.0000 0.5000 0.5000  1.88
O 0.2500 0.5000 0.7500  -0.03
O 0.7229 0.0000 0.7229  0.03
O 0.2771 0.0000 0.2771  0.03
O 0.7500 0.5000 0.2500  -0.03
O 0.7229 0.7229 0.0000  0.03
O 0.2771 0.2771 0.0000  0.03
O 0.7500 0.2500 0.5000  -0.03
O 0.2500 0.7500 0.5000  -0.03
O 0.5000 0.2500 0.7500  -0.03
O 0.0000 0.7229 0.7229  0.03
O 0.5000 0.7500 0.2500  -0.03
O 0.0000 0.2771 0.2771  0.03

## Properties
Space group: No. 229
Final energy (eV per atom): -6.81
Total moment (μB/cell): 5.78


[11]
Density functional theory data (GGA+U) for crystalline SrAc2CoO5 at its relaxed geometry.

abc: 5.7885 7.0615 7.0615
angles: 90.00 90.00 90.00
Site moments in Bohr magnetons follow the coordinates.
Sites, in units of the cell vectors:
Sr 0.0000 0.5000 0.5000  -0.01
Sr 0.0000 0.0000 0.0000  -0.01
Ac 0.5000 0.6742 0.1742  0.00
Ac 0.5000 0.1742 0.3258  0.00
Ac 0.5000 0.8258 0.6742  0.00
Ac 0.5000 0.3258 0.8258  0.00
Co 0.0000 0.0000 0.5000  1.04
Co 0.0000 0.5000 0.0000  1.04
O 0.5000 0.5000 0.5000  0.00
O 0.5000 0.0000 0.0000  0.00
O 0.2280 0.1368 0.6368  -0.01
O 0.2280 0.8632 0.3632  -0.01
O 0.2280 0.3632 0.1368  -0.01
O 0.2280 0.6368 0.8632  -0.01
O 0.7720 0.1368 0.6368  -0.01
O 0.7720 0.6368 0.8632  -0.01
O 0.7720 0.8632 0.3632  -0.01
O 0.7720 0.3632 0.1368  -0.01

## Properties
Space group: No. 127
Final energy (eV per atom): -6.99
Total moment (μB/cell): 2.00


[12]
Density functional theory data (GGA+U) for crystalline SrAc2Co2O6 at its relaxed geometry.

abc: 6.0579 6.0579 7.1451
angles: 64.92 64.92 60.00
Site moments in Bohr magnetons follow the coordinates.
Sites, in units of the cell vectors:
Sr 0.0000 0.0000 0.0000  0.01
Ac 0.8033 0.8033 0.5901  0.02
Ac 0.1967 0.1967 0.4099  0.02
Co 0.4394 0.4394 0.6817  2.52
Co 0.5606 0.5606 0.3183  2.52
O 0.7433 0.7433 0.3020  0.11
O 0.2114 0.7433 0.3020  0.11
O 0.7433 0.2114 0.3020  0.11
O 0.2567 0.7886 0.6980  0.11
O 0.7886 0.2567 0.6980  0.11
O 0.2567 0.2567 0.6980  0.11

## Properties
Space group: No. 166
Final energy (eV per atom): -6.60
Total moment (μB/cell): 6.00